Entry 1:
A geometry-optimized FePOs2Au structure. Source: Alexandria, functional PBE.

Cell lengths 5.202, 2.711, 10.400 Å; angles 90.00, 90.41, 90.00 degrees
Element x y z (fractional)
1 Fe 0.918 0.000 0.219
2 Fe 0.918 0.500 0.719
3 P 0.568 0.000 0.724
4 P 0.568 0.500 0.224
5 Os 0.230 0.000 0.583
6 Os 0.230 0.500 0.083
7 Os 0.228 0.000 0.864
8 Os 0.228 0.500 0.364
9 Au 0.727 0.000 0.470
10 Au 0.727 0.500 0.970

## Properties
Distance to the lowest polymorph of the same formula = 0.1412 eV per atom
Formation energy from the elements = 0.2208 eV per atom



Entry 2:
A geometry-optimized YSb2 structure. Source: Alexandria, functional PBE.

Cell lengths 5.433, 5.433, 3.213 Å; angles 90.00, 90.00, 120.00 degrees
Element x y z (fractional)
1 Sb 0.333 0.667 0.500
2 Sb 0.667 0.333 0.500
3 Y 0.000 0.000 0.000



Entry 3:
A geometry-optimized Sm2ScIr structure. Source: Alexandria, functional PBE.

Cell lengths 3.691, 3.691, 10.596 Å; angles 79.97, 79.97, 60.00 degrees
Element x y z (fractional)
1 Sc 0.000 0.000 0.000
2 Ir 0.500 0.500 0.500
3 Sm 0.109 0.109 0.674
4 Sm 0.891 0.891 0.326

## Properties
Formation energy from the elements = 0.0364 eV per atom



Entry 4:
A geometry-optimized Ti2Al7V2 structure. Source: Alexandria, functional PBE.

Cell lengths 5.375, 7.693, 5.375 Å; angles 90.00, 116.96, 90.00 degrees
Element x y z (fractional)
1 Ti 0.677 0.000 0.323
2 Ti 0.323 0.000 0.677
3 Al 0.000 0.309 0.500
4 Al 0.500 0.691 0.000
5 Al 0.000 0.691 0.500
6 Al 0.500 0.309 0.000
7 Al 0.000 0.000 0.000
8 Al 0.500 0.729 0.500
9 Al 0.500 0.271 0.500
10 V 0.837 0.500 0.837
11 V 0.163 0.500 0.163

## Properties
Formation energy from the elements = 0.2502 eV per atom



Entry 5:
A geometry-optimized Ba4NOF2 structure. Source: Alexandria, functional PBE.

Cell lengths 4.001, 6.901, 7.032 Å; angles 109.21, 90.00, 90.00 degrees
Element x y z (fractional)
1 Ba 0.500 0.246 0.228
2 Ba 0.500 0.754 0.772
3 Ba 0.000 0.258 0.768
4 Ba 0.000 0.742 0.232
5 N 0.500 0.500 0.000
6 O 0.000 0.000 0.000
7 F 0.500 0.000 0.500
8 F 0.000 0.500 0.500



Entry 6:
A geometry-optimized BMo3C structure. Source: Alexandria, functional PBE.

Cell lengths 4.051, 4.051, 4.051 Å; angles 90.00, 90.00, 90.00 degrees
Element x y z (fractional)
1 Mo 0.000 0.500 0.000
2 Mo 0.000 0.000 0.500
3 Mo 0.500 0.000 0.000
4 B 0.500 0.500 0.500
5 C 0.000 0.000 0.000

## Properties
Distance to the lowest polymorph of the same formula = 0.7196 eV per atom
Formation energy from the elements = 0.6703 eV per atom



Uncorrected energy in eV/atom, matching the order above: -7.701 -5.275 -6.121 -5.225 -5.235 -9.009